First-principles (PBE) data for a relaxed structure of Zr2PaAs, as listed in Alexandria.

Cell lengths 8.9729, 8.9729, 8.9729 Å; angles 22.46, 22.46, 22.46 degrees
Fractional positions:
Zr: 0.2353 0.2353 0.2353
Zr: 0.7647 0.7647 0.7647
Pa: 0.0000 0.0000 0.0000
As: 0.5000 0.5000 0.5000

Output
**DOS(E_F)**: 6.589 states/eV/f.u.
**Energy**: -32.6 eV for the cell shown
**DFT formation energy**: -347 meV/atom

***

First-principles (PBE) data for a relaxed structure of ZrPa4As5, as listed in Alexandria.

Cell lengths 7.0164, 7.0164, 7.0164 Å; angles 99.66, 99.66, 131.62 degrees
Fractional positions:
Zr: 0.0000 0.0000 0.0000
Pa: 0.1992 0.4026 0.6018
Pa: 0.4026 0.8008 0.2033
Pa: 0.5974 0.1992 0.7967
Pa: 0.8008 0.5974 0.3982
As: 0.0990 0.7082 0.8072
As: 0.2918 0.0990 0.3908
As: 0.5000 0.5000 0.0000
As: 0.7082 0.9010 0.6092
As: 0.9010 0.2918 0.1928

Output
**DOS(E_F)**: 11.784 states/eV/f.u.
**Energy**: -80.4 eV for the cell shown
**DFT formation energy**: -1066 meV/atom

***

First-principles (PBE) data for a relaxed structure of Zr2PaAs3, as listed in Alexandria.

Cell lengths 13.1597, 12.5441, 6.8303 Å; angles 79.63, 69.66, 30.70 degrees
Fractional positions:
Zr: 0.0429 0.0429 0.2071
Zr: 0.1246 0.1246 0.6254
Zr: 0.2071 0.2071 0.0429
Zr: 0.3746 0.3746 0.8754
Zr: 0.6254 0.6254 0.1246
Zr: 0.7929 0.7929 0.9571
Zr: 0.8754 0.8754 0.3746
Zr: 0.9571 0.9571 0.7929
Pa: 0.2919 0.2919 0.4581
Pa: 0.4581 0.4581 0.2919
Pa: 0.5419 0.5419 0.7081
Pa: 0.7081 0.7081 0.5419
As: 0.0435 0.5422 0.1982
As: 0.1165 0.6335 0.6335
As: 0.1982 0.7160 0.0435
As: 0.2840 0.8018 0.4578
As: 0.3665 0.8835 0.8835
As: 0.4578 0.9565 0.2840
As: 0.5422 0.0435 0.7160
As: 0.6335 0.1165 0.1165
As: 0.7160 0.1982 0.5422
As: 0.8018 0.2840 0.9565
As: 0.8835 0.3665 0.3665
As: 0.9565 0.4578 0.8018

Output
**DOS(E_F)**: 4.228 states/eV/f.u.
**Energy**: -188.6 eV for the cell shown
**DFT formation energy**: -1103 meV/atom

***

First-principles (PBE) data for a relaxed structure of ZrPa3As4, as listed in Alexandria.

Cell lengths 6.9712, 8.1239, 7.0091 Å; angles 90.00, 109.76, 90.00 degrees
Fractional positions:
Zr: 0.0000 0.1257 0.2500
Zr: 0.0000 0.8743 0.7500
Pa: 0.0000 0.3737 0.7500
Pa: 0.0000 0.6263 0.2500
Pa: 0.5000 0.1254 0.7500
Pa: 0.5000 0.3744 0.2500
Pa: 0.5000 0.6256 0.7500
Pa: 0.5000 0.8746 0.2500
As: 0.2406 0.1190 0.0002
As: 0.2406 0.8810 0.5002
As: 0.2442 0.3696 0.4943
As: 0.2442 0.6304 0.9943
As: 0.7558 0.3696 0.0057
As: 0.7558 0.6304 0.5057
As: 0.7594 0.1190 0.4998
As: 0.7594 0.8810 0.9998

Output
**DOS(E_F)**: 9.665 states/eV/f.u.
**Energy**: -128.4 eV for the cell shown
**DFT formation energy**: -1070 meV/atom

***

First-principles (PBE) data for a relaxed structure of ZrPa2As3, as listed in Alexandria.

Cell lengths 8.9598, 8.9598, 8.9598 Å; angles 153.91, 153.91, 37.22 degrees
Fractional positions:
Zr: 0.0000 0.0000 0.0000
Pa: 0.3336 0.3336 0.0000
Pa: 0.6664 0.6664 0.0000
As: 0.1622 0.1622 0.0000
As: 0.5000 0.5000 0.0000
As: 0.8378 0.8378 0.0000

Output
**DOS(E_F)**: 7.430 states/eV/f.u.
**Energy**: -47.8 eV for the cell shown
**DFT formation energy**: -1054 meV/atom

***

First-principles (PBE) data for a relaxed structure of ZrPa5As6, as listed in Alexandria.

Cell lengths 7.0369, 7.0369, 7.0258 Å; angles 99.64, 99.64, 120.05 degrees
Fractional positions:
Zr: 0.0000 0.0000 0.0000
Pa: 0.1693 0.8307 0.5000
Pa: 0.3341 0.6659 0.0000
Pa: 0.5000 0.5000 0.5000
Pa: 0.6659 0.3341 0.0000
Pa: 0.8307 0.1693 0.5000
As: 0.0806 0.4059 0.2430
As: 0.2421 0.2421 0.7522
As: 0.4059 0.0806 0.2430
As: 0.5941 0.9194 0.7570
As: 0.7579 0.7579 0.2478
As: 0.9194 0.5941 0.7570

Output
**DOS(E_F)**: 13.932 states/eV/f.u.
**Energy**: -96.7 eV for the cell shown
**DFT formation energy**: -1068 meV/atom

***

First-principles (PBE) data for a relaxed structure of Zr4PaAs5, as listed in Alexandria.

Cell lengths 10.3987, 10.3987, 10.3987 Å; angles 158.37, 148.95, 38.16 degrees
Fractional positions:
Zr: 0.1013 0.1013 0.0000
Zr: 0.2974 0.2974 0.0000
Zr: 0.7026 0.7026 0.0000
Zr: 0.8987 0.8987 0.0000
Pa: 0.5000 0.5000 0.0000
As: 0.0000 0.5000 0.5000
As: 0.1994 0.6994 0.5000
As: 0.3943 0.8943 0.5000
As: 0.6057 0.1057 0.5000
As: 0.8006 0.3006 0.5000

Output
**DOS(E_F)**: 8.928 states/eV/f.u.
**Energy**: -77.7 eV for the cell shown
**DFT formation energy**: -1074 meV/atom

***

First-principles (PBE) data for a relaxed structure of As3Pb5, as listed in Alexandria.

Cell lengths 7.3956, 7.8404, 8.9343 Å; angles 86.74, 77.61, 70.56 degrees
Fractional positions:
As: 0.0172 0.2759 0.4509
As: 0.2105 0.5460 0.0398
As: 0.3601 0.9604 0.7535
As: 0.6399 0.0396 0.2465
As: 0.7895 0.4540 0.9602
As: 0.9828 0.7241 0.5491
Pb: 0.0093 0.8549 0.8477
Pb: 0.1624 0.3699 0.7387
Pb: 0.2948 0.9082 0.4455
Pb: 0.3448 0.4207 0.3395
Pb: 0.4286 0.7890 0.0510
Pb: 0.5714 0.2110 0.9490
Pb: 0.6552 0.5793 0.6605
Pb: 0.7052 0.0918 0.5545
Pb: 0.8376 0.6301 0.2613
Pb: 0.9907 0.1451 0.1523

Output
**DOS(E_F)**: 2.730 states/eV/f.u.
**Energy**: -64.7 eV for the cell shown
**DFT formation energy**: 17 meV/atom